(1)
VASP calculation (GGA-PBE) on K3RbAuO after structural relaxation.

Cell lengths 6.289, 8.573, 10.544 Å; angles 66.01, 79.82, 64.22 degrees
Element x y z (fractional)
Rb 0.250 0.624 0.752
Rb 0.750 0.376 0.248
K 0.980 0.227 0.900
K 0.480 0.127 0.100
K 0.750 0.183 0.633
K 0.250 0.817 0.367
K 0.520 0.873 0.900
K 0.020 0.773 0.100
Au 0.250 0.282 0.436
Au 0.750 0.718 0.564
O 0.250 0.945 0.110
O 0.750 0.055 0.890

As for the symmetry: C2/c. As for the volume: 467.6 Å³ per cell.

(2)
VASP calculation (GGA-PBE) on KRb8Au2O after structural relaxation.

Cell lengths 8.363, 7.999, 11.268 Å; angles 64.60, 84.25, 74.04 degrees
Element x y z (fractional)
Rb 0.569 0.705 0.517
Rb 0.733 0.247 0.078
Rb 0.755 0.927 0.892
Rb 0.431 0.295 0.483
Rb 0.024 0.319 0.775
Rb 0.245 0.073 0.108
Rb 0.976 0.681 0.225
Rb 0.267 0.753 0.922
O 0.000 0.000 0.000
K 0.000 0.000 0.500
Au 0.438 0.357 0.802
Au 0.562 0.643 0.198

As for the symmetry: P-1. As for the volume: 654.6 Å³ per cell.

ΔE_f (raw) across the listed records, respectively: -0.50 -0.33 eV per atom.
Total moment across the listed records, respectively: 0.00 0.00 μB per cell.